Entry 1:
CaZr3N at its PBEsol-relaxed geometry. Source: Alexandria via LeMat-Bulk, functional SCAN.

Unit cell a=4.5952 b=4.5952 c=4.5952 alpha=90.00 beta=90.00 gamma=90.00
Last column: nearest neighbours and their distance in Å.
Space group Pm-3m (No. 221)
Inequivalent atoms, fractional coordinates:
Ca  0.0000  0.0000  0.0000 (multiplicity 1)  12 Zr 3.25
Zr  0.0000  0.5000  0.5000 (multiplicity 3)  2 N 2.30
N  0.5000  0.5000  0.5000 (multiplicity 1)  6 Zr 2.30

* formation energy without anion corrections: -491.7 meV per atom
* N(E_F): 2.9 states/eV/cell

Entry 2:
Na3Ca at its PBEsol-relaxed geometry. Source: Alexandria via LeMat-Bulk, functional SCAN.

Unit cell a=7.5046 b=7.5046 c=6.0729 alpha=90.00 beta=90.00 gamma=120.00
Last column: nearest neighbours and their distance in Å.
Space group P6_3/mmc (No. 194)
Inequivalent atoms, fractional coordinates:
Na  0.1643  0.3286  0.2500 (multiplicity 6)  8 Na 3.70-3.81, 4 Ca 3.75
Ca  0.3333  0.6667  0.7500 (multiplicity 2)  12 Na 3.75

* N(E_F): 4.6 states/eV/cell
* energy relative to the elements: 0.07 eV/atom

> Which of these has the highest N(E_F)?

Na3Ca

> Which value of N(E_F) does entry 2 give?

4.6 states/eV/cell

> Look up the N(E_F) of the second one.

4.6 states/eV/cell

> Which of these has the highest N(E_F)?

Na3Ca